# 1
The following is a DFT calculation (GGA-PBE) of an optimized crystal structure of TiCuBi2.

Cell: 7.1093 7.1093 7.1093 Å, 90.00 90.00 90.00°
Space group Fm-3m (No. 225)
Symmetry-distinct sites (fractional):
Ti1 0.0000 0.0000 0.0000
Cu1 0.0000 0.0000 0.5000
Bi1 0.2500 0.2500 0.2500

Properties
Energy relative to the elements, meV/atom: 311

***

# 2
The following is a DFT calculation (GGA-PBE) of an optimized crystal structure of Ti6CuBi.

Cell: 7.7532 9.5381 5.3553 Å, 90.00 133.40 90.00°
Space group C2/m (No. 12)
Symmetry-distinct sites (fractional):
Ti1 0.9998 0.2332 0.2470
Ti2 0.2382 0.0000 0.2380
Cu1 0.0000 0.0000 0.5000
Bi1 0.0000 0.5000 0.0000

Properties
Energy relative to the elements, meV/atom: 142

***

# 3
The following is a DFT calculation (GGA-PBE) of an optimized crystal structure of TiCuBi.

Cell: 5.6920 12.9366 3.1955 Å, 90.00 90.17 90.00°
Space group C2/m (No. 12)
Symmetry-distinct sites (fractional):
Ti1 0.0000 0.1369 0.0000
Cu1 0.2149 0.0000 0.5013
Bi1 0.0000 0.3324 0.5000

Properties
Energy relative to the elements, meV/atom: 55

***

# 4
The following is a DFT calculation (GGA-PBE) of an optimized crystal structure of Ti2CuBi.

Cell: 4.0552 4.0552 4.2919 Å, 90.00 90.00 90.00°
Space group P4/mmm (No. 123)
Symmetry-distinct sites (fractional):
Ti1 0.0000 0.5000 0.0000
Cu1 0.0000 0.0000 0.5000
Bi1 0.5000 0.5000 0.5000

Properties
Energy relative to the elements, meV/atom: -41

***

# 5
The following is a DFT calculation (GGA-PBE) of an optimized crystal structure of TiCuBi.

Cell: 4.8632 4.9079 9.7277 Å, 90.00 90.00 90.00°
Space group Cmmm (No. 65)
Symmetry-distinct sites (fractional):
Ti1 0.0000 0.0000 0.0000
Ti2 0.0000 0.5000 0.5000
Cu1 0.0000 0.0000 0.3707
Bi1 0.0000 0.5000 0.1903

Properties
Energy relative to the elements, meV/atom: 122

***

# 6
The following is a DFT calculation (GGA-PBE) of an optimized crystal structure of Ti2CuBi.

Cell: 7.3536 7.3536 5.6506 Å, 90.00 90.00 90.00°
Space group I-42d (No. 122)
Symmetry-distinct sites (fractional):
Ti1 0.2201 0.7500 0.1250
Cu1 0.0000 0.0000 0.0000
Bi1 0.0000 0.0000 0.5000

Properties
Energy relative to the elements, meV/atom: 214

***

# 7
The following is a DFT calculation (GGA-PBE) of an optimized crystal structure of TiTlCuBi2.

Cell: 5.3941 5.3941 5.0842 Å, 90.00 90.00 90.00°
Space group P4/mmm (No. 123)
Symmetry-distinct sites (fractional):
Ti1 0.0000 0.0000 0.0000
Tl1 0.5000 0.5000 0.5000
Cu1 0.0000 0.0000 0.5000
Bi1 0.0000 0.5000 0.0000

Properties
Energy relative to the elements, meV/atom: 362

***

# 8
The following is a DFT calculation (GGA-PBE) of an optimized crystal structure of TlCu2Bi2.

Cell: 4.4596 4.4596 12.9961 Å, 90.00 90.00 90.00°
Space group I4/mmm (No. 139)
Symmetry-distinct sites (fractional):
Tl1 0.0000 0.0000 0.0000
Cu1 0.0000 0.5000 0.2500
Bi1 0.0000 0.0000 0.3698

Properties
Excess energy over the best structure of this formula in the dataset, eV per atom: 0.0000
Energy relative to the elements, meV/atom: 202

***

# 9
The following is a DFT calculation (GGA-PBE) of an optimized crystal structure of Tl2CuBi2.

Cell: 6.8685 6.8685 6.1908 Å, 90.00 90.00 90.00°
Space group P4/mbm (No. 127)
Symmetry-distinct sites (fractional):
Tl1 0.1603 0.3397 0.0000
Cu1 0.0000 0.0000 0.0000
Bi1 0.1965 0.6965 0.5000

Properties
Excess energy over the best structure of this formula in the dataset, eV per atom: 0.1764
Energy relative to the elements, meV/atom: 289

***

# 10
The following is a DFT calculation (GGA-PBE) of an optimized crystal structure of Tl3CuBi.

Cell: 5.2873 5.2873 5.2873 Å, 90.00 90.00 90.00°
Space group Pm-3m (No. 221)
Symmetry-distinct sites (fractional):
Tl1 0.0000 0.0000 0.5000
Cu1 0.0000 0.0000 0.0000
Bi1 0.5000 0.5000 0.5000

Properties
Excess energy over the best structure of this formula in the dataset, eV per atom: 0.0000
Energy relative to the elements, meV/atom: 190

***

# 11
The following is a DFT calculation (GGA-PBE) of an optimized crystal structure of TlCu2Bi.

Cell: 4.7869 4.7869 16.8625 Å, 90.00 90.00 90.00°
Space group I-42d (No. 122)
Symmetry-distinct sites (fractional):
Tl1 0.0000 0.0000 0.0000
Cu1 0.2248 0.2500 0.6250
Bi1 0.0000 0.0000 0.5000

Properties
Excess energy over the best structure of this formula in the dataset, eV per atom: 0.0685
Energy relative to the elements, meV/atom: 398

***

# 12
The following is a DFT calculation (GGA-PBE) of an optimized crystal structure of TlCu2Bi2.

Cell: 8.7087 8.7087 3.1866 Å, 90.00 90.00 90.00°
Space group P4/mbm (No. 127)
Symmetry-distinct sites (fractional):
Tl1 0.0000 0.0000 0.0000
Cu1 0.1487 0.3513 0.5000
Bi1 0.1440 0.6440 0.0000

Properties
Excess energy over the best structure of this formula in the dataset, eV per atom: 0.0912
Energy relative to the elements, meV/atom: 293

***

# 13
The following is a DFT calculation (GGA-PBE) of an optimized crystal structure of TlCu3Bi.

Cell: 5.0891 5.0891 5.0891 Å, 90.00 90.00 90.00°
Space group Pm-3m (No. 221)
Symmetry-distinct sites (fractional):
Tl1 0.0000 0.0000 0.0000
Cu1 0.0000 0.5000 0.5000
Bi1 0.5000 0.5000 0.5000

Properties
Excess energy over the best structure of this formula in the dataset, eV per atom: 0.0000
Energy relative to the elements, meV/atom: 632

***

# 14
The following is a DFT calculation (GGA-PBE) of an optimized crystal structure of TlCu2Bi2.

Cell: 4.8552 4.8552 10.8224 Å, 90.00 90.00 90.00°
Space group I4/mmm (No. 139)
Symmetry-distinct sites (fractional):
Tl1 0.0000 0.0000 0.0000
Cu1 0.0000 0.0000 0.3854
Bi1 0.0000 0.5000 0.2500

Properties
Excess energy over the best structure of this formula in the dataset, eV per atom: 0.0445
Energy relative to the elements, meV/atom: 247

***

# 15
The following is a DFT calculation (GGA-PBE) of an optimized crystal structure of Tl2CuBi2.

Cell: 7.2029 7.2029 5.8497 Å, 90.00 90.00 90.00°
Space group P4/mbm (No. 127)
Symmetry-distinct sites (fractional):
Tl1 0.1684 0.3316 0.0000
Cu1 0.0000 0.0000 0.5000
Bi1 0.1543 0.6543 0.5000

Properties
Excess energy over the best structure of this formula in the dataset, eV per atom: 0.0000
Energy relative to the elements, meV/atom: 113

***

# 16
The following is a DFT calculation (GGA-PBE) of an optimized crystal structure of TlCu2Bi2.

Cell: 7.4423 7.4423 4.1579 Å, 90.00 90.00 90.00°
Space group P4/mbm (No. 127)
Symmetry-distinct sites (fractional):
Tl1 0.0000 0.0000 0.0000
Cu1 0.1184 0.3816 0.0000
Bi1 0.1656 0.6656 0.5000

Properties
Excess energy over the best structure of this formula in the dataset, eV per atom: 0.0181
Energy relative to the elements, meV/atom: 220

***

# 17
The following is a DFT calculation (GGA-PBE) of an optimized crystal structure of TlCu2Bi.

Cell: 6.9371 6.9371 6.9371 Å, 90.00 90.00 90.00°
Space group Fm-3m (No. 225)
Symmetry-distinct sites (fractional):
Tl1 0.0000 0.0000 0.0000
Cu1 0.2500 0.2500 0.2500
Bi1 0.0000 0.0000 0.5000

Properties
Excess energy over the best structure of this formula in the dataset, eV per atom: 0.0000
Energy relative to the elements, meV/atom: 329

***

# 18
The following is a DFT calculation (GGA-PBE) of an optimized crystal structure of TmCuBi2.

Cell: 4.3977 4.3977 19.2994 Å, 90.00 90.00 120.00°
Space group R-3m (No. 166, hexagonal axes)
Symmetry-distinct sites (fractional):
Tm1 0.0000 0.0000 0.0000
Cu1 0.0000 0.0000 0.5000
Bi1 0.0000 0.0000 0.2374

Properties
Energy relative to the elements, meV/atom: -25

***

# 19
The following is a DFT calculation (GGA-PBE) of an optimized crystal structure of Tm12Cu6Bi.

Cell: 9.7615 9.7615 9.7615 Å, 90.00 90.00 90.00°
Space group Im-3 (No. 204)
Symmetry-distinct sites (fractional):
Tm1 0.0000 0.1901 0.3021
Cu1 0.0000 0.3764 0.5000
Bi1 0.0000 0.0000 0.0000

Properties
Energy relative to the elements, meV/atom: -240

***

# 20
The following is a DFT calculation (GGA-PBE) of an optimized crystal structure of Tm5Cu2Bi.

Cell: 7.8553 7.8553 12.8710 Å, 90.00 90.00 90.00°
Space group I4/mcm (No. 140)
Symmetry-distinct sites (fractional):
Tm1 0.0000 0.0000 0.0000
Tm2 0.1529 0.3471 0.1390
Cu1 0.1331 0.3669 0.5000
Bi1 0.0000 0.0000 0.2500

Properties
Energy relative to the elements, meV/atom: -360

***

For the records above, the corresponding total magnetization values read 0.00; 0.00; 0.00; 0.00; 1.19; 0.00; 0.00; 0.00; 0.00; 0.00; 0.00; 0.00; 0.00; 0.00; 0.00; 0.00; 0.00; 0.00; 0.00; 0.00 μB per formula unit.